[1]
A relaxed structure of Ca2LaCd. Source: the Alexandria database, functional PBE.

* magnetic moment: 0.00 μB per cell
* uncorrected energy: -2.57 eV per atom
* crystal system: tetragonal
* calculated density: 4.0 g/cm³
* SG: P4/mmm
* DFT formation energy: -0.113 eV/atom

a = 3.7019 Å, b = 3.7019 Å, c = 9.9836 Å
α = 90.00°, β = 90.00°, γ = 90.03°
Fractional coordinates of all 4 atoms:
Ca  0.0000  0.0000  0.0449
Ca  0.0000  0.0000  0.4550
Cd  0.5000  0.5000  0.2500
La  0.5000  0.5000  0.7500

=====

[2]
A relaxed structure of Ca3LaCd4. Source: the Alexandria database, functional PBE.

* magnetic moment: 0.00 μB per cell
* uncorrected energy: -2.19 eV per atom
* crystal system: trigonal
* calculated density: 5.1 g/cm³
* SG: R-3m
* DFT formation energy: -0.362 eV/atom

a = 5.4609 Å, b = 5.4609 Å, c = 9.5028 Å
α = 73.30°, β = 73.30°, γ = 60.00°
Fractional coordinates of all 8 atoms:
Ca  0.2485  0.2485  0.2546
Ca  0.7515  0.7515  0.7454
Ca  0.5000  0.5000  0.5000
Cd  0.8744  0.8744  0.3767
Cd  0.3764  0.3764  0.8708
Cd  0.1256  0.1256  0.6233
Cd  0.6236  0.6236  0.1292
La  0.0000  0.0000  0.0000

=====

[3]
A relaxed structure of CaLa5Cd4. Source: the Alexandria database, functional PBE.

* magnetic moment: 1.10 μB per cell
* uncorrected energy: -3.27 eV per atom
* crystal system: tetragonal
* calculated density: 6.1 g/cm³
* SG: P4/mmm
* DFT formation energy: -0.245 eV/atom

a = 3.9944 Å, b = 3.9944 Å, c = 20.1950 Å
α = 90.00°, β = 90.00°, γ = 90.00°
Last column: magnetic moment on the atom in μB.
Fractional coordinates of all 10 atoms:
Ca  0.0000  0.0000  0.0000  -0.01
La  0.5000  0.5000  0.1238  0.01
La  0.5000  0.5000  0.3095  0.14
La  0.5000  0.5000  0.5000  0.17
La  0.5000  0.5000  0.6905  0.14
La  0.5000  0.5000  0.8762  0.01
Cd  0.0000  0.0000  0.2123  0.01
Cd  0.0000  0.0000  0.4045  0.01
Cd  0.0000  0.0000  0.5955  0.01
Cd  0.0000  0.0000  0.7877  0.01

=====

What is the magnetic moment in the second record? 0.00 μB per cell